1.
Compound: Mg2BeCoIr
Source: Alexandria
Functional: PBE-GGA
Structure: relaxed

The structure belongs to space group P4/mmm (No. 123); the cell edges are 4.905, 4.905 and 4.154 Å and the angles 90.00°, 90.00° and 90.00°. The inequivalent atoms are Mg at (0.000, 0.500, 0.000), Be at (0.000, 0.000, 0.500), Co at (0.500, 0.500, 0.500) and Ir at (0.000, 0.000, 0.000).

The formation enthalpy at 0 K is 0.65 eV per atom.

2.
Compound: BeCoMoIr2
Source: Alexandria
Functional: PBE-GGA
Structure: relaxed

The structure belongs to space group P4/mmm (No. 123); the cell edges are 4.490, 4.490 and 4.280 Å and the angles 90.00°, 90.00° and 90.00°. The inequivalent atoms are Be at (0.000, 0.000, 0.000), Co at (0.500, 0.500, 0.500), Mo at (0.500, 0.500, 0.000) and Ir at (0.000, 0.500, 0.500).

The formation enthalpy at 0 K is 1.52 eV per atom.

3.
Compound: BeCoNiIr
Source: Alexandria
Functional: PBE-GGA
Structure: relaxed

The structure belongs to space group F-43m (No. 216); the cell edges are 5.657, 5.657 and 5.657 Å and the angles 90.00°, 90.00° and 90.00°. The inequivalent atoms are Be at (0.000, 0.000, 0.000), Co at (0.000, 0.000, 0.500), Ni at (0.250, 0.250, 0.250) and Ir at (0.250, 0.250, 0.750).

The formation enthalpy at 0 K is -0.12 eV per atom.